Material: RbSrMnCl5
Method: DFT, PBE
State: optimized geometry

Cell and atoms, written as POSCAR:
```
RbSrMnCl5
1.0
4.6572 -6.2999 0.0000
4.6572 6.2999 0.0000
-3.9907 0.0000 9.5025
Rb Sr Mn Cl
2 2 2 10
direct
0.1560 0.8440 0.7500
0.8440 0.1560 0.2500
0.5000 0.5000 0.0000
0.5000 0.5000 0.5000
0.1825 0.8175 0.2500
0.8175 0.1825 0.7500
0.1043 0.2390 0.9233
0.1764 0.5955 0.3727
0.2390 0.1043 0.4233
0.4045 0.8236 0.1273
0.4099 0.5901 0.7500
0.5901 0.4099 0.2500
0.5955 0.1764 0.8727
0.7610 0.8957 0.5767
0.8236 0.4045 0.6273
0.8957 0.7610 0.0767
```

Calculated values
The electronic total energy is -4.47 eV per atom. For the energy relative to the elements, uncorrected, the calculation gives -1.8376 eV per atom. The calculated density comes out at 2.4 g cm⁻³. As for the symmetry: C2/c (15). The calculation puts the calculated volume at 34.9 Å³/atom.

Material: RbSr2MnCl8
Method: DFT, PBE
State: optimized geometry

Cell and atoms, written as POSCAR:
```
RbSr2MnCl8
1.0
6.4839 0.0000 0.0000
0.0000 8.8674 0.0000
-0.3097 0.0000 6.7731
Rb Sr Mn Cl
1 2 1 8
direct
0.0000 0.0000 0.0000
0.5000 0.2629 0.5000
0.5000 0.7371 0.5000
0.0000 0.5000 0.0000
0.2020 0.3168 0.1496
0.2020 0.6832 0.1496
0.2643 0.5000 0.6842
0.2878 0.0000 0.6405
0.7122 0.0000 0.3595
0.7357 0.5000 0.3158
0.7980 0.3168 0.8504
0.7980 0.6832 0.8504
```

Calculated values
The electronic total energy is -4.19 eV per atom. For the energy relative to the elements, uncorrected, the calculation gives -1.8343 eV per atom. The calculated density comes out at 2.6 g cm⁻³. As for the symmetry: P2/m (10). The calculation puts the calculated volume at 32.5 Å³/atom.

Material: RbTbMnCl6
Method: DFT, PBE
State: optimized geometry

Cell and atoms, written as POSCAR:
```
RbTbMnCl6
1.0
6.5106 0.0000 0.0000
-3.2553 5.6384 0.0000
0.0000 0.0000 15.0381
Rb Tb Mn Cl
2 2 2 12
direct
0.0000 0.0000 0.0000
0.0000 0.0000 0.5000
0.3333 0.6667 0.2500
0.6667 0.3333 0.7500
0.3333 0.6667 0.7500
0.6667 0.3333 0.2500
0.0333 0.3822 0.6545
0.0333 0.6511 0.8455
0.3489 0.3822 0.8455
0.3489 0.9667 0.6545
0.3822 0.0333 0.1545
0.3822 0.3489 0.3455
0.6178 0.6511 0.6545
0.6178 0.9667 0.8455
0.6511 0.0333 0.3455
0.6511 0.6178 0.1545
0.9667 0.3489 0.1545
0.9667 0.6178 0.3455
```

Calculated values
The electronic total energy is -4.45 eV per atom. For the energy relative to the elements, uncorrected, the calculation gives -1.5815 eV per atom. The calculated density comes out at 3.1 g cm⁻³. As for the symmetry: P-31c (163). The calculation puts the calculated volume at 30.7 Å³/atom.

Material: Rb2MnTcCl6
Method: DFT, PBE
State: optimized geometry

Cell and atoms, written as POSCAR:
```
Rb2MnTcCl6
1.0
-3.6564 3.6564 4.5469
3.6564 -3.6564 4.5469
3.6564 3.6564 -4.5469
Rb Mn Tc Cl
2 1 1 6
direct
0.2500 0.7500 0.5000
0.7500 0.2500 0.5000
0.0000 0.0000 0.0000
0.5000 0.5000 0.0000
0.2446 0.2446 0.0000
0.2603 0.2603 0.5206
0.2603 0.7397 0.0000
0.7397 0.2603 0.0000
0.7397 0.7397 0.4794
0.7554 0.7554 0.0000
```

Calculated values
The electronic total energy is -4.34 eV per atom. For the energy relative to the elements, uncorrected, the calculation gives -1.0853 eV per atom. The calculated density comes out at 3.7 g cm⁻³. As for the symmetry: I4/mmm (139). The calculation puts the calculated volume at 24.3 Å³/atom.

Material: RbTiMn2Cl8
Method: DFT, PBE
State: optimized geometry

Cell and atoms, written as POSCAR:
```
RbTiMn2Cl8
1.0
3.1353 1.8102 10.5198
-3.1353 1.8102 10.5198
0.0000 -3.6203 10.5198
Rb Ti Mn Cl
1 1 2 8
direct
0.0000 0.0000 0.0000
0.5000 0.5000 0.5000
0.2393 0.2393 0.2393
0.7607 0.7607 0.7607
0.1550 0.4331 0.7602
0.2398 0.5669 0.8450
0.3115 0.3115 0.3115
0.4331 0.7602 0.1550
0.5669 0.8450 0.2398
0.6885 0.6885 0.6885
0.7602 0.1550 0.4331
0.8450 0.2398 0.5669
```

Calculated values
The electronic total energy is -4.80 eV per atom. For the energy relative to the elements, uncorrected, the calculation gives -1.3060 eV per atom. The calculated density comes out at 2.4 g cm⁻³. As for the symmetry: R32 (155). The calculation puts the calculated volume at 29.9 Å³/atom.

Material: Rb2TiMnCl6
Method: DFT, PBE
State: optimized geometry

Cell and atoms, written as POSCAR:
```
Rb2TiMnCl6
1.0
-3.7126 3.7126 4.5469
3.7126 -3.7126 4.5469
3.7126 3.7126 -4.5469
Rb Ti Mn Cl
2 1 1 6
direct
0.2500 0.7500 0.5000
0.7500 0.2500 0.5000
0.0000 0.0000 0.0000
0.5000 0.5000 0.0000
0.2436 0.2436 0.4872
0.2436 0.7564 0.0000
0.2532 0.2532 0.0000
0.7468 0.7468 0.0000
0.7564 0.2436 0.0000
0.7564 0.7564 0.5128
```

Calculated values
The electronic total energy is -4.46 eV per atom. For the energy relative to the elements, uncorrected, the calculation gives -1.4475 eV per atom. The calculated density comes out at 3.2 g cm⁻³. As for the symmetry: I4/mmm (139). The calculation puts the calculated volume at 25.1 Å³/atom.

Material: RbMnTl2Cl6
Method: DFT, PBE
State: optimized geometry

Cell and atoms, written as POSCAR:
```
RbMnTl2Cl6
1.0
7.3507 0.0000 0.0000
0.0000 8.3864 0.0000
-6.7589 0.0000 10.4670
Rb Mn Tl Cl
2 2 4 12
direct
0.0000 0.0000 0.0000
0.0000 0.5000 0.5000
0.5000 0.0000 0.5000
0.5000 0.5000 0.0000
0.1986 0.0462 0.7180
0.1986 0.4538 0.2180
0.8014 0.5462 0.7820
0.8014 0.9538 0.2820
0.1744 0.1640 0.4781
0.1744 0.3360 0.9781
0.2776 0.7222 0.9158
0.2776 0.7778 0.4158
0.4001 0.0792 0.2971
0.4001 0.4208 0.7971
0.5999 0.5792 0.2029
0.5999 0.9208 0.7029
0.7224 0.2222 0.5842
0.7224 0.2778 0.0842
0.8256 0.6640 0.0219
0.8256 0.8360 0.5219
```

Calculated values
The electronic total energy is -3.79 eV per atom. For the energy relative to the elements, uncorrected, the calculation gives -1.1946 eV per atom. The calculated density comes out at 3.9 g cm⁻³. As for the symmetry: P2_1/c (14). The calculation puts the calculated volume at 32.3 Å³/atom.

Material: Rb2Mn2TlCl7
Method: DFT, PBE
State: optimized geometry

Cell and atoms, written as POSCAR:
```
Rb2Mn2TlCl7
1.0
3.5988 -3.5989 0.0000
3.5988 3.5989 0.0000
-3.5862 0.0000 13.1778
Rb Mn Tl Cl
2 2 1 7
direct
0.1806 0.1806 0.3628
0.8194 0.8194 0.6372
0.4020 0.4020 0.8048
0.5980 0.5980 0.1952
0.0000 0.0000 0.0000
0.0940 0.5937 0.1884
0.3085 0.3085 0.6155
0.4063 0.9060 0.8116
0.5000 0.5000 0.0000
0.5937 0.0940 0.1884
0.6915 0.6915 0.3845
0.9060 0.4063 0.8116
```

Calculated values
The electronic total energy is -4.34 eV per atom. For the energy relative to the elements, uncorrected, the calculation gives -1.3743 eV per atom. The calculated density comes out at 3.6 g cm⁻³. As for the symmetry: C2/m (12). The calculation puts the calculated volume at 28.4 Å³/atom.

Material: Rb2MnTlCl6
Method: DFT, PBE
State: optimized geometry

Cell and atoms, written as POSCAR:
```
Rb2MnTlCl6
1.0
7.4723 0.0000 0.0000
0.0000 7.6599 0.0000
-7.3716 0.0000 10.7104
Rb Mn Tl Cl
4 2 2 12
direct
0.2343 0.0506 0.2478
0.2343 0.4494 0.7478
0.7657 0.5506 0.2522
0.7657 0.9494 0.7522
0.0000 0.0000 0.5000
0.0000 0.5000 0.0000
0.5000 0.0000 0.0000
0.5000 0.5000 0.5000
0.1461 0.2397 0.9656
0.1461 0.2603 0.4656
0.2272 0.6808 0.9673
0.2272 0.8192 0.4673
0.2841 0.0120 0.7208
0.2841 0.4880 0.2208
0.7159 0.5120 0.7792
0.7159 0.9880 0.2792
0.7728 0.1808 0.5327
0.7728 0.3192 0.0327
0.8539 0.7397 0.5344
0.8539 0.7603 0.0344
```

Calculated values
The electronic total energy is -3.86 eV per atom. For the energy relative to the elements, uncorrected, the calculation gives -1.4000 eV per atom. The calculated density comes out at 3.5 g cm⁻³. As for the symmetry: P2_1/c (14). The calculation puts the calculated volume at 30.7 Å³/atom.